--- i ---
BeAsW2 | PBE | relaxed

Computed properties:
calculated density	13.3	g/cm³
DOS(E_F)	2.39	states/eV/cell
V	14.1	Å³/atom

a b c (Å): 4.7201 4.7201 4.4016
angles (deg): 104.90 104.90 36.79
Closest atoms and distances in Å follow each position.
Fractional positions:
1 Be 0.0000 0.0000 0.0000  7 W 2.53-2.69, 2 As 2.63
2 As 0.2690 0.2690 0.6773  7 W 2.56-2.73, 2 Be 2.63
3 W 0.5195 0.5195 0.5021  3 As 2.56-2.62, 4 Be 2.63-2.69, 1 W 2.82
4 W 0.7371 0.7371 0.1450  3 Be 2.53-2.60, 4 As 2.62-2.73, 1 W 2.82

=====

--- ii ---
BeAsW2 | PBE | relaxed

Computed properties:
calculated density	13.3	g/cm³
DOS(E_F)	3.33	states/eV/cell
V	14.1	Å³/atom

a b c (Å): 4.1840 4.1840 3.2592
angles (deg): 90.00 90.00 98.28
Closest atoms and distances in Å follow each position.
Fractional positions:
1 Be 0.0000 0.0000 0.0000  8 W 2.65, 2 As 2.74
2 As 0.5000 0.5000 0.0000  8 W 2.65, 2 Be 2.74
3 W 0.0000 0.5000 0.5000  4 As 2.65, 4 Be 2.65, 2 W 2.74
4 W 0.5000 0.0000 0.5000  4 As 2.65, 4 Be 2.65, 2 W 2.74

=====

Stability summary - winner: i; margin: 172 meV per atom.